MnGa2BO6: relaxed, PBE with a Hubbard U.

Its total DFT energy (no corrections) is -6.785 eV per atom. As for the volume: 10.8 Å³ per atom. The calculation puts the density of states at the Fermi level at 0.1 states/eV per cell. Its total magnetization is 4.0 μB per formula unit.

a b c (Å): 6.8712 6.8712 5.0470
angles (deg): 105.34 105.34 98.80
Positions (direct):
Mn  0.0964  0.9036  0.7500
Mn  0.9036  0.0964  0.2500
Ga  0.2737  0.4615  0.8532
Ga  0.4615  0.2737  0.3532
Ga  0.5385  0.7263  0.6468
Ga  0.7263  0.5385  0.1468
B  0.1752  0.8248  0.2500
B  0.8248  0.1752  0.7500
O  0.0289  0.1969  0.6754
O  0.1436  0.6731  0.9723
O  0.1969  0.0289  0.1754
O  0.3003  0.4452  0.4896
O  0.3269  0.8564  0.5277
O  0.4452  0.3003  0.9896
O  0.5548  0.6997  0.0104
O  0.6731  0.1436  0.4723
O  0.6997  0.5548  0.5104
O  0.8030  0.9711  0.8246
O  0.8564  0.3269  0.0277
O  0.9711  0.8030  0.3246